A geometry-optimized Ti3AlOs structure, computed with PBEsol.

Values from the calculation:
Calculated total energy   -35.0 eV for the cell shown
Calculated formation energy   1249 meV per atom
Total magnetic moment   0.00 μB/cell

Geometry as extended XYZ:
```
5
Lattice="4.4788 0.0000 0.0000 0.0000 4.4788 0.0000 0.0000 0.0000 4.4788" Properties=species:S:1:pos:R:3 pbc="T T T"
Ti 0.0000 0.0000 2.2394
Ti 2.2394 0.0000 0.0000
Ti 0.0000 2.2394 0.0000
Os 2.2394 2.2394 2.2394
Al 0.0000 0.0000 0.0000
```